(1)
# RbBa2Pd | the Alexandria database | PBE | relaxed
# - Fermi-level density of states (states/eV per cell) = 9.79
# - spin magnetization (μB/f.u.) = 0.000
data_RbBa2Pd
_chemical_formula_sum 'Rb3 Ba6 Pd3'
_cell_length_a 4.6533
_cell_length_b 4.6533
_cell_length_c 37.6140
_cell_angle_alpha 90.00
_cell_angle_beta 90.00
_cell_angle_gamma 120.00
_symmetry_space_group_name_H-M 'R -3 m'
_symmetry_Int_Tables_number 166
_symmetry_space_group_name_Hall '-R 3 2"'
loop_
_atom_site_label
_atom_site_type_symbol
_atom_site_fract_x
_atom_site_fract_y
_atom_site_fract_z
Rb1 Rb 0.0000 0.0000 0.0000
Ba1 Ba 0.0000 0.0000 0.1208
Pd1 Pd 0.0000 0.0000 0.5000

***

(2)
# RbBa2Pd | the Alexandria database | PBE | relaxed
# - Fermi-level density of states (states/eV per cell) = 16.06
# - spin magnetization (μB/f.u.) = 0.000
data_RbBa2Pd
_chemical_formula_sum 'Rb4 Ba8 Pd4'
_cell_length_a 10.4578
_cell_length_b 10.4578
_cell_length_c 7.9698
_cell_angle_alpha 90.00
_cell_angle_beta 90.00
_cell_angle_gamma 90.00
_symmetry_space_group_name_H-M 'I -4 2 d'
_symmetry_Int_Tables_number 122
_symmetry_space_group_name_Hall 'I -4 2bw'
loop_
_atom_site_label
_atom_site_type_symbol
_atom_site_fract_x
_atom_site_fract_y
_atom_site_fract_z
Rb1 Rb 0.0000 0.0000 0.0000
Ba1 Ba 0.1340 0.7500 0.6250
Pd1 Pd 0.0000 0.0000 0.5000

***

(3)
# RbBa2Pd | the Alexandria database | PBE | relaxed
# - Fermi-level density of states (states/eV per cell) = 5.20
# - spin magnetization (μB/f.u.) = 0.000
data_RbBa2Pd
_chemical_formula_sum 'Rb2 Ba4 Pd2'
_cell_length_a 8.1475
_cell_length_b 4.6973
_cell_length_c 11.7059
_cell_angle_alpha 90.00
_cell_angle_beta 90.41
_cell_angle_gamma 90.00
_symmetry_space_group_name_H-M 'C 1 2/m 1'
_symmetry_Int_Tables_number 12
_symmetry_space_group_name_Hall '-C 2y'
loop_
_atom_site_label
_atom_site_type_symbol
_atom_site_fract_x
_atom_site_fract_y
_atom_site_fract_z
Rb1 Rb 0.0000 0.0000 0.0000
Ba1 Ba 0.1684 0.5000 0.6455
Pd1 Pd 0.0000 0.0000 0.5000

***

(4)
# RbBa2Pd | the Alexandria database | PBE | relaxed
# - Fermi-level density of states (states/eV per cell) = 27.91
# - spin magnetization (μB/f.u.) = 0.000
data_RbBa2Pd
_chemical_formula_sum 'Rb4 Ba8 Pd4'
_cell_length_a 8.6601
_cell_length_b 8.6601
_cell_length_c 8.6601
_cell_angle_alpha 90.00
_cell_angle_beta 90.00
_cell_angle_gamma 90.00
_symmetry_space_group_name_H-M 'F m -3 m'
_symmetry_Int_Tables_number 225
_symmetry_space_group_name_Hall '-F 4 2 3'
loop_
_atom_site_label
_atom_site_type_symbol
_atom_site_fract_x
_atom_site_fract_y
_atom_site_fract_z
Rb1 Rb 0.0000 0.0000 0.0000
Ba1 Ba 0.2500 0.2500 0.2500
Pd1 Pd 0.0000 0.0000 0.5000

***

Which of them is the most stable, and which is the least stable? (3) and (4), in that order.

***

(1)
# RbBa2Pd | the Alexandria database | PBE | relaxed
# - Fermi-level density of states (states/eV per cell) = 9.55
# - spin magnetization (μB/f.u.) = 0.000
data_RbBa2Pd
_chemical_formula_sum 'Rb3 Ba6 Pd3'
_cell_length_a 4.6988
_cell_length_b 4.6988
_cell_length_c 35.2296
_cell_angle_alpha 90.00
_cell_angle_beta 90.00
_cell_angle_gamma 120.00
_symmetry_space_group_name_H-M 'R 3 m'
_symmetry_Int_Tables_number 160
_symmetry_space_group_name_Hall 'R 3 -2"'
loop_
_atom_site_label
_atom_site_type_symbol
_atom_site_fract_x
_atom_site_fract_y
_atom_site_fract_z
Rb1 Rb 0.0000 0.0000 0.0000
Ba1 Ba 0.0000 0.0000 0.2156
Ba2 Ba 0.0000 0.0000 0.4523
Pd1 Pd 0.0000 0.0000 0.8341

***

(2)
# RbBa2Pd | the Alexandria database | PBE | relaxed
# - Fermi-level density of states (states/eV per cell) = 5.02
# - spin magnetization (μB/f.u.) = 0.002
data_RbBa2Pd
_chemical_formula_sum 'Rb1 Ba2 Pd1'
_cell_length_a 4.0694
_cell_length_b 4.0694
_cell_length_c 11.9002
_cell_angle_alpha 90.00
_cell_angle_beta 90.00
_cell_angle_gamma 90.00
_symmetry_space_group_name_H-M 'P 4/m m m'
_symmetry_Int_Tables_number 123
_symmetry_space_group_name_Hall '-P 4 2'
loop_
_atom_site_label
_atom_site_type_symbol
_atom_site_fract_x
_atom_site_fract_y
_atom_site_fract_z
Rb1 Rb 0.0000 0.0000 0.0000
Ba1 Ba 0.5000 0.5000 0.3448
Pd1 Pd 0.0000 0.0000 0.5000

***

Which of them is the most stable, and which is the least stable? (1) and (2), in that order.

***

(1)
# RbBaPd3 | the Alexandria database | PBE | relaxed
# - Fermi-level density of states (states/eV per cell) = 4.80
# - spin magnetization (μB/f.u.) = 0.000
data_RbBaPd3
_chemical_formula_sum 'Rb1 Ba1 Pd3'
_cell_length_a 5.7008
_cell_length_b 5.7008
_cell_length_c 5.7008
_cell_angle_alpha 90.00
_cell_angle_beta 90.00
_cell_angle_gamma 90.00
_symmetry_space_group_name_H-M 'P m -3 m'
_symmetry_Int_Tables_number 221
_symmetry_space_group_name_Hall '-P 4 2 3'
loop_
_atom_site_label
_atom_site_type_symbol
_atom_site_fract_x
_atom_site_fract_y
_atom_site_fract_z
Rb1 Rb 0.0000 0.0000 0.0000
Ba1 Ba 0.5000 0.5000 0.5000
Pd1 Pd 0.0000 0.5000 0.5000

***

(2)
# RbBaPd3 | the Alexandria database | PBE | relaxed
# - Fermi-level density of states (states/eV per cell) = 3.11
# - spin magnetization (μB/f.u.) = 0.000
data_RbBaPd3
_chemical_formula_sum 'Rb1 Ba1 Pd3'
_cell_length_a 5.4033
_cell_length_b 5.4033
_cell_length_c 5.4033
_cell_angle_alpha 90.00
_cell_angle_beta 90.00
_cell_angle_gamma 90.00
_symmetry_space_group_name_H-M 'P m -3 m'
_symmetry_Int_Tables_number 221
_symmetry_space_group_name_Hall '-P 4 2 3'
loop_
_atom_site_label
_atom_site_type_symbol
_atom_site_fract_x
_atom_site_fract_y
_atom_site_fract_z
Rb1 Rb 0.0000 0.0000 0.0000
Ba1 Ba 0.5000 0.5000 0.5000
Pd1 Pd 0.0000 0.0000 0.5000

***

Which of them is the most stable, and which is the least stable? (1) and (2), in that order.

***

(1)
# RbBa3Pd | the Alexandria database | PBE | relaxed
# - Fermi-level density of states (states/eV per cell) = 22.77
# - spin magnetization (μB/f.u.) = 0.000
data_RbBa3Pd
_chemical_formula_sum 'Rb6 Ba18 Pd6'
_cell_length_a 8.0135
_cell_length_b 8.0135
_cell_length_c 35.2283
_cell_angle_alpha 90.00
_cell_angle_beta 90.00
_cell_angle_gamma 120.00
_symmetry_space_group_name_H-M 'R -3'
_symmetry_Int_Tables_number 148
_symmetry_space_group_name_Hall '-R 3'
loop_
_atom_site_label
_atom_site_type_symbol
_atom_site_fract_x
_atom_site_fract_y
_atom_site_fract_z
Rb1 Rb 0.0000 0.0000 0.1659
Ba1 Ba 0.0016 0.3432 0.0500
Pd1 Pd 0.0000 0.0000 0.3330

***

(2)
# RbBa3Pd | the Alexandria database | PBE | relaxed
# - Fermi-level density of states (states/eV per cell) = 4.46
# - spin magnetization (μB/f.u.) = 3.123
data_RbBa3Pd
_chemical_formula_sum 'Rb1 Ba3 Pd1'
_cell_length_a 6.6692
_cell_length_b 6.6692
_cell_length_c 6.6692
_cell_angle_alpha 90.00
_cell_angle_beta 90.00
_cell_angle_gamma 90.00
_symmetry_space_group_name_H-M 'P m -3 m'
_symmetry_Int_Tables_number 221
_symmetry_space_group_name_Hall '-P 4 2 3'
loop_
_atom_site_label
_atom_site_type_symbol
_atom_site_fract_x
_atom_site_fract_y
_atom_site_fract_z
Rb1 Rb 0.0000 0.0000 0.0000
Ba1 Ba 0.0000 0.0000 0.5000
Pd1 Pd 0.5000 0.5000 0.5000

***

Which of them is the most stable, and which is the least stable? (1) and (2), in that order.

***

(1)
# RbBa2SrPd | the Alexandria database | PBE | relaxed
# - Fermi-level density of states (states/eV per cell) = 4.76
# - spin magnetization (μB/f.u.) = 0.000
data_RbBa2SrPd
_chemical_formula_sum 'Rb1 Ba2 Sr1 Pd1'
_cell_length_a 6.3321
_cell_length_b 6.3321
_cell_length_c 6.8216
_cell_angle_alpha 90.00
_cell_angle_beta 90.00
_cell_angle_gamma 90.00
_symmetry_space_group_name_H-M 'P 4/m m m'
_symmetry_Int_Tables_number 123
_symmetry_space_group_name_Hall '-P 4 2'
loop_
_atom_site_label
_atom_site_type_symbol
_atom_site_fract_x
_atom_site_fract_y
_atom_site_fract_z
Rb1 Rb 0.0000 0.0000 0.0000
Ba1 Ba 0.0000 0.5000 0.5000
Sr1 Sr 0.5000 0.5000 0.0000
Pd1 Pd 0.0000 0.0000 0.5000

***

(2)
# RbBa2SrPd | the Alexandria database | PBE | relaxed
# - Fermi-level density of states (states/eV per cell) = 3.67
# - spin magnetization (μB/f.u.) = 0.000
data_RbBa2SrPd
_chemical_formula_sum 'Rb1 Ba2 Sr1 Pd1'
_cell_length_a 6.4759
_cell_length_b 6.4759
_cell_length_c 6.2981
_cell_angle_alpha 90.00
_cell_angle_beta 90.00
_cell_angle_gamma 90.00
_symmetry_space_group_name_H-M 'P 4/m m m'
_symmetry_Int_Tables_number 123
_symmetry_space_group_name_Hall '-P 4 2'
loop_
_atom_site_label
_atom_site_type_symbol
_atom_site_fract_x
_atom_site_fract_y
_atom_site_fract_z
Rb1 Rb 0.0000 0.0000 0.0000
Ba1 Ba 0.0000 0.5000 0.5000
Sr1 Sr 0.5000 0.5000 0.0000
Pd1 Pd 0.5000 0.5000 0.5000

***

Which of them is the most stable, and which is the least stable? (2) and (1), in that order.

***

(1)
# BaRe2Pd | the Alexandria database | PBE | relaxed
# - Fermi-level density of states (states/eV per cell) = 19.97
# - spin magnetization (μB/f.u.) = 0.000
data_BaRe2Pd
_chemical_formula_sum 'Ba4 Re8 Pd4'
_cell_length_a 6.6882
_cell_length_b 6.6882
_cell_length_c 6.6882
_cell_angle_alpha 90.00
_cell_angle_beta 90.00
_cell_angle_gamma 90.00
_symmetry_space_group_name_H-M 'F m -3 m'
_symmetry_Int_Tables_number 225
_symmetry_space_group_name_Hall '-F 4 2 3'
loop_
_atom_site_label
_atom_site_type_symbol
_atom_site_fract_x
_atom_site_fract_y
_atom_site_fract_z
Ba1 Ba 0.0000 0.0000 0.0000
Re1 Re 0.2500 0.2500 0.2500
Pd1 Pd 0.0000 0.0000 0.5000

***

(2)
# BaRe2Pd | the Alexandria database | PBE | relaxed
# - Fermi-level density of states (states/eV per cell) = 22.16
# - spin magnetization (μB/f.u.) = 0.000
data_BaRe2Pd
_chemical_formula_sum 'Ba4 Re8 Pd4'
_cell_length_a 4.8095
_cell_length_b 4.8095
_cell_length_c 18.6927
_cell_angle_alpha 90.00
_cell_angle_beta 90.00
_cell_angle_gamma 90.00
_symmetry_space_group_name_H-M 'I 41/a m d'
_symmetry_Int_Tables_number 141
loop_
_symmetry_equiv_pos_as_xyz
'x,y,z'
'-x,-y,-z'
'-y+1/4,x+3/4,z+1/4'
'y+1/4,-x+3/4,-z+1/4'
'-x+1/2,-y,z+1/2'
'x+1/2,y,-z+1/2'
'y+1/4,-x+1/4,z+3/4'
'-y+1/4,x+1/4,-z+3/4'
'x,-y,-z'
'-x,y,z'
'-y+1/4,-x+1/4,-z+3/4'
'y+1/4,x+1/4,z+3/4'
'-x+1/2,y,-z+1/2'
'x+1/2,-y,z+1/2'
'y+1/4,x+3/4,-z+1/4'
'-y+1/4,-x+3/4,z+1/4'
'x+1/2,y+1/2,z+1/2'
'-x+1/2,-y+1/2,-z+1/2'
'-y+3/4,x+1/4,z+3/4'
'y+3/4,-x+1/4,-z+3/4'
'-x,-y+1/2,z'
'x,y+1/2,-z'
'y+3/4,-x+3/4,z+1/4'
'-y+3/4,x+3/4,-z+1/4'
'x+1/2,-y+1/2,-z+1/2'
'-x+1/2,y+1/2,z+1/2'
'-y+3/4,-x+3/4,-z+1/4'
'y+3/4,x+3/4,z+1/4'
'-x,y+1/2,-z'
'x,-y+1/2,z'
'y+3/4,x+1/4,-z+3/4'
'-y+3/4,-x+1/4,z+3/4'
loop_
_atom_site_label
_atom_site_type_symbol
_atom_site_fract_x
_atom_site_fract_y
_atom_site_fract_z
Ba1 Ba 0.0000 0.2500 0.3750
Re1 Re 0.0000 0.0000 0.0000
Pd1 Pd 0.0000 0.2500 0.8750

***

Which of them is the most stable, and which is the least stable? (2) and (1), in that order.